1.
Pr4SCl5: optimized geometry, PBE. Values from VASP.

Quantum ESPRESSO input file:
```
&SYSTEM
  ibrav = 0, nat = 10, ntyp = 3
/
ATOMIC_SPECIES
Pr 140.91 Pr.upf
S 32.06 S.upf
Cl 35.45 Cl.upf
ATOMIC_POSITIONS angstrom
Pr -0.5560 0.0000 2.1983
Pr 5.3590 0.0000 3.3188
Pr 10.5519 0.0000 4.7159
Pr 16.4669 0.0000 5.8363
S 7.9555 0.0000 4.0173
Cl 1.1693 0.0000 6.7435
Cl 2.3919 0.0000 2.7246
Cl 9.0182 0.0000 0.0000
Cl 13.5190 0.0000 5.3100
Cl 14.7416 0.0000 1.2911
CELL_PARAMETERS angstrom
9.0182 -2.0115 0.0000
9.0182 2.0115 0.0000
-2.1254 0.0000 8.0346
```

Computed properties:
The magnetization comes out at 0.00 μB/f.u. As for the space-group type: C2/m, No. 12. As for the energy relative to the elements, uncorrected: -19.4 eV/f.u. The calculation puts the final energy at -5.19 eV/atom. As for the crystal system: monoclinic.

2.
PrSCl: optimized geometry, PBE. Values from VASP.

Quantum ESPRESSO input file:
```
&SYSTEM
  ibrav = 0, nat = 3, ntyp = 3
/
ATOMIC_SPECIES
Pr 140.91 Pr.upf
S 32.06 S.upf
Cl 35.45 Cl.upf
ATOMIC_POSITIONS angstrom
Pr 0.0000 0.0000 0.0000
S 0.0000 0.0000 3.6302
Cl 0.0000 0.0000 6.6028
CELL_PARAMETERS angstrom
-1.8940 1.8940 4.8331
1.8940 -1.8940 4.8331
1.8940 1.8940 -4.8331
```

Computed properties:
The magnetization comes out at 0.00 μB/f.u. As for the space-group type: I4mm, No. 107. As for the energy relative to the elements, uncorrected: -5.4 eV/f.u. The calculation puts the final energy at -5.40 eV/atom. As for the crystal system: tetragonal.

3.
PrSCl: optimized geometry, PBE. Values from VASP.

Quantum ESPRESSO input file:
```
&SYSTEM
  ibrav = 0, nat = 3, ntyp = 3
/
ATOMIC_SPECIES
Pr 140.91 Pr.upf
S 32.06 S.upf
Cl 35.45 Cl.upf
ATOMIC_POSITIONS angstrom
Pr 0.0000 0.0000 0.0000
S 5.1128 5.1128 5.1128
Cl 1.7043 1.7043 1.7043
CELL_PARAMETERS angstrom
0.0000 3.4085 3.4085
3.4085 0.0000 3.4085
3.4085 3.4085 0.0000
```

Computed properties:
The magnetization comes out at 0.00 μB/f.u. As for the space-group type: F-43m, No. 216. As for the energy relative to the elements, uncorrected: -6.3 eV/f.u. The calculation puts the final energy at -5.68 eV/atom. As for the crystal system: cubic.

Q: Which of these has the lowest final energy?
A: number 3

Q: Number 2 is which compound?
A: PrSCl

Q: What is the magnetization in the second record?
A: 0.00 μB/f.u.